[1]
Computed, not measured: a relaxed structure of ZrSc2Pt at the PBEsol level of DFT.

For the raw total energy, the calculation gives -7.73 eV/atom.

The space group is Fm-3m (No. 225) and the conventional cell measures 6.7265, 6.7265 and 6.7265 Å, with angles of 90.00, 90.00 and 90.00 degrees. The inequivalent atoms are Zr at (0.0000, 0.0000, 0.0000), Sc at (0.2500, 0.2500, 0.2500) and Pt at (0.0000, 0.0000, 0.5000).

[2]
Computed, not measured: a relaxed structure of ZrSc2Pt at the PBEsol level of DFT.

For the raw total energy, the calculation gives -7.76 eV/atom.

The space group is I-4m2 (No. 119) and the conventional cell measures 4.0018, 4.0018 and 9.5942 Å, with angles of 90.00, 90.00 and 90.00 degrees. The inequivalent atoms are Zr at (0.0000, 0.0000, 0.0000), Sc at (0.0000, 0.0000, 0.5000), Sc at (0.0000, 0.5000, 0.7500) and Pt at (0.0000, 0.5000, 0.2500).

[3]
Computed, not measured: a relaxed structure of ZrSc2Pt2 at the PBEsol level of DFT.

For the raw total energy, the calculation gives -8.17 eV/atom.

The space group is P4/mbm (No. 127) and the conventional cell measures 7.2170, 7.2170 and 3.6793 Å, with angles of 90.00, 90.00 and 90.00 degrees. The inequivalent atoms are Zr at (0.0000, 0.0000, 0.0000), Sc at (0.1625, 0.3375, 0.5000) and Pt at (0.1371, 0.6371, 0.0000).

[4]
Computed, not measured: a relaxed structure of ZrSc2Pt at the PBEsol level of DFT.

For the raw total energy, the calculation gives -7.47 eV/atom.

The space group is R-3m (No. 166, hexagonal axes) and the conventional cell measures 3.1443, 3.1443 and 29.8968 Å, with angles of 90.00, 90.00 and 120.00 degrees. The inequivalent atoms are Zr at (0.0000, 0.0000, 0.0000), Sc at (0.0000, 0.0000, 0.1002) and Pt at (0.0000, 0.0000, 0.5000).

[5]
Computed, not measured: a relaxed structure of ZrScPt at the PBEsol level of DFT.

For the raw total energy, the calculation gives -8.15 eV/atom.

The space group is P3m1 (No. 156) and the conventional cell measures 4.4876, 4.4876 and 3.2867 Å, with angles of 90.00, 90.00 and 120.00 degrees. The inequivalent atoms are Zr at (0.0000, 0.0000, 0.0000), Sc at (0.3333, 0.6667, 0.5810) and Pt at (0.6667, 0.3333, 0.2821).

[6]
Computed, not measured: a relaxed structure of ZrScPt4 at the PBEsol level of DFT.

For the raw total energy, the calculation gives -8.15 eV/atom.

The space group is F-43m (No. 216) and the conventional cell measures 7.4209, 7.4209 and 7.4209 Å, with angles of 90.00, 90.00 and 90.00 degrees. The inequivalent atoms are Zr at (0.0000, 0.0000, 0.0000), Sc at (0.2500, 0.2500, 0.7500) and Pt at (0.1248, 0.1248, 0.3752).

[7]
Computed, not measured: a relaxed structure of PtSe2 at the PBEsol level of DFT.

The calculation puts the formation energy without anion corrections at 23.76 kJ per mole of atoms. For the raw total energy, the calculation gives -4.64 eV/atom.

The space group is I4/mmm (No. 139) and the conventional cell measures 3.0709, 3.0709 and 11.8451 Å, with angles of 90.00, 90.00 and 90.00 degrees. The inequivalent atoms are Pt at (0.0000, 0.0000, 0.0000) and Se at (0.0000, 0.0000, 0.3618).

[8]
Computed, not measured: a relaxed structure of Pt3Se at the PBEsol level of DFT.

The calculation puts the formation energy without anion corrections at 13.34 kJ per mole of atoms. For the raw total energy, the calculation gives -6.05 eV/atom.

The space group is Pmmm (No. 47) and the conventional cell measures 2.8281, 3.3870 and 6.5294 Å, with angles of 90.00, 90.00 and 90.00 degrees. The inequivalent atoms are Pt at (0.0000, 0.0000, 0.0000), Pt at (0.5000, 0.5000, 0.2554) and Se at (0.0000, 0.0000, 0.5000).

[9]
Computed, not measured: a relaxed structure of PtSe at the PBEsol level of DFT.

The calculation puts the formation energy without anion corrections at -5.54 kJ per mole of atoms. For the raw total energy, the calculation gives -5.46 eV/atom.

The space group is P-3m1 (No. 164) and the conventional cell measures 3.6188, 3.6188 and 7.2464 Å, with angles of 90.00, 90.00 and 120.00 degrees. The inequivalent atoms are Pt at (0.3333, 0.6667, 0.1239) and Se at (0.3333, 0.6667, 0.7039).

[10]
Computed, not measured: a relaxed structure of Pt5Se4 at the PBEsol level of DFT.

The calculation puts the formation energy without anion corrections at -30.77 kJ per mole of atoms. For the raw total energy, the calculation gives -5.90 eV/atom.

The space group is P2_1/c (No. 14) and the conventional cell measures 6.5712, 4.6220 and 11.0883 Å, with angles of 90.00, 101.40 and 90.00 degrees. The inequivalent atoms are Pt at (0.0000, 0.0000, 0.0000), Pt at (0.2230, 0.1631, 0.6740), Pt at (0.3315, 0.6669, 0.0022), Se at (0.0891, 0.1359, 0.3614) and Se at (0.4850, 0.5379, 0.3555).

[11]
Computed, not measured: a relaxed structure of PtSe2 at the PBEsol level of DFT.

The calculation puts the formation energy without anion corrections at -2.08 kJ per mole of atoms. For the raw total energy, the calculation gives -4.91 eV/atom.

The space group is Cm (No. 8) and the conventional cell measures 12.1547, 3.6484 and 7.0276 Å, with angles of 90.00, 106.61 and 90.00 degrees. The inequivalent atoms are Pt at (0.0000, 0.0000, 0.0000), Pt at (0.0750, 0.5000, 0.3011), Se at (0.2116, 0.0000, 0.3063), Se at (0.2746, 0.0000, 0.6688), Se at (0.4464, 0.5000, 0.3302) and Se at (0.4790, 0.0000, 0.7692).

[12]
Computed, not measured: a relaxed structure of PtSe2 at the PBEsol level of DFT.

The calculation puts the formation energy without anion corrections at -32.72 kJ per mole of atoms. For the raw total energy, the calculation gives -5.23 eV/atom.

The space group is Cmcm (No. 63) and the conventional cell measures 3.7215, 11.7966 and 5.2943 Å, with angles of 90.00, 90.00 and 90.00 degrees. The inequivalent atoms are Pt at (0.0000, 0.1636, 0.2500), Se at (0.0000, 0.1958, 0.7500) and Se at (0.0000, 0.4755, 0.7500).

[13]
Computed, not measured: a relaxed structure of PtSe2 at the PBEsol level of DFT.

The calculation puts the formation energy without anion corrections at -27.16 kJ per mole of atoms. For the raw total energy, the calculation gives -5.17 eV/atom.

The space group is Cmmm (No. 65) and the conventional cell measures 3.7040, 12.0024 and 2.7763 Å, with angles of 90.00, 90.00 and 90.00 degrees. The inequivalent atoms are Pt at (0.0000, 0.0000, 0.0000) and Se at (0.0000, 0.3651, 0.0000).

[14]
Computed, not measured: a relaxed structure of PtSe2 at the PBEsol level of DFT.

The calculation puts the formation energy without anion corrections at -39.59 kJ per mole of atoms. For the raw total energy, the calculation gives -5.30 eV/atom.

The space group is P-3m1 (No. 164) and the conventional cell measures 3.7613, 3.7613 and 4.8451 Å, with angles of 90.00, 90.00 and 120.00 degrees. The inequivalent atoms are Pt at (0.0000, 0.0000, 0.0000) and Se at (0.3333, 0.6667, 0.2616).

[15]
Computed, not measured: a relaxed structure of SiPt2Se at the PBEsol level of DFT.

The calculation puts the formation energy without anion corrections at -0.89 kJ per mole of atoms. For the raw total energy, the calculation gives -5.89 eV/atom.

The space group is Fm-3m (No. 225) and the conventional cell measures 6.2674, 6.2674 and 6.2674 Å, with angles of 90.00, 90.00 and 90.00 degrees. The inequivalent atoms are Si at (0.0000, 0.0000, 0.0000), Pt at (0.2500, 0.2500, 0.2500) and Se at (0.0000, 0.0000, 0.5000).

[16]
Computed, not measured: a relaxed structure of SiPt2Se at the PBEsol level of DFT.

The calculation puts the formation energy without anion corrections at -19.83 kJ per mole of atoms. For the raw total energy, the calculation gives -6.09 eV/atom.

The space group is I-42d (No. 122) and the conventional cell measures 4.4206, 4.4206 and 14.7441 Å, with angles of 90.00, 90.00 and 90.00 degrees. The inequivalent atoms are Si at (0.0000, 0.0000, 0.0000), Pt at (0.2201, 0.2500, 0.1250) and Se at (0.0000, 0.0000, 0.5000).

[17]
Computed, not measured: a relaxed structure of Si2PtSe at the PBEsol level of DFT.

The calculation puts the formation energy without anion corrections at 13.63 kJ per mole of atoms. For the raw total energy, the calculation gives -5.44 eV/atom.

The space group is R3m (No. 160, hexagonal axes) and the conventional cell measures 2.8913, 2.8913 and 27.9360 Å, with angles of 90.00, 90.00 and 120.00 degrees. The inequivalent atoms are Si at (0.0000, 0.0000, 0.0000), Si at (0.0000, 0.0000, 0.2619), Pt at (0.0000, 0.0000, 0.5319) and Se at (0.0000, 0.0000, 0.7801).

[18]
Computed, not measured: a relaxed structure of Si2PtSe at the PBEsol level of DFT.

The calculation puts the formation energy without anion corrections at 11.73 kJ per mole of atoms. For the raw total energy, the calculation gives -5.46 eV/atom.

The space group is Immm (No. 71) and the conventional cell measures 2.7525, 4.5941 and 10.5313 Å, with angles of 90.00, 90.00 and 90.00 degrees. The inequivalent atoms are Si at (0.0000, 0.0000, 0.2091), Pt at (0.0000, 0.5000, 0.5000) and Se at (0.0000, 0.5000, 0.0000).

[19]
Computed, not measured: a relaxed structure of SiPtSe at the PBEsol level of DFT.

The calculation puts the formation energy without anion corrections at -32.30 kJ per mole of atoms. For the raw total energy, the calculation gives -5.85 eV/atom.

The space group is Amm2 (No. 38) and the conventional cell measures 3.6124, 2.7285 and 10.9681 Å, with angles of 90.00, 90.00 and 90.00 degrees. The inequivalent atoms are Si at (0.0000, 0.0000, 0.0000), Pt at (0.5000, 0.0000, 0.4132) and Se at (0.0000, 0.0000, 0.2153).

[20]
Computed, not measured: a relaxed structure of SiPtSe4 at the PBEsol level of DFT.

The calculation puts the formation energy without anion corrections at 89.27 kJ per mole of atoms. For the raw total energy, the calculation gives -3.76 eV/atom.

The space group is F-43m (No. 216) and the conventional cell measures 7.7524, 7.7524 and 7.7524 Å, with angles of 90.00, 90.00 and 90.00 degrees. The inequivalent atoms are Si at (0.0000, 0.0000, 0.0000), Pt at (0.2500, 0.2500, 0.2500) and Se at (0.1232, 0.1232, 0.6232).